Density functional theory data (PBE) for crystalline CaSnTeN2 at its relaxed geometry.

Values from the calculation:
**Excess energy over the best structure of this formula in the dataset**: 0.000 eV/atom
**Fermi-level density of states**: 0.458 states/eV/atom
**Formation energy without anion corrections**: 0.548 eV per atom

CIF file:
```
data_CaSnTeN2
_cell_length_a 4.3068
_cell_length_b 4.3068
_cell_length_c 6.0000
_cell_angle_alpha 90.00
_cell_angle_beta 90.00
_cell_angle_gamma 90.00
_symmetry_space_group_name_H-M 'P 4/m m m'
_symmetry_Int_Tables_number 123
_symmetry_space_group_name_Hall '-P 4 2'
loop_
_atom_site_label
_atom_site_type_symbol
_atom_site_fract_x
_atom_site_fract_y
_atom_site_fract_z
Ca1 Ca 0.0000 0.0000 0.0000
Sn1 Sn 0.5000 0.5000 0.5000
Te1 Te 0.5000 0.5000 0.0000
N1 N 0.0000 0.5000 0.5000
```